i.
First-principles (PBE-GGA) data for crystalline ScTeF3 at its relaxed geometry, as listed in Alexandria via LeMat-Bulk.

abc: 4.3242 4.3242 4.3242
angles: 90.00 90.00 90.00
Atoms (fractional coordinates):
1 Sc 0.0000 0.0000 0.0000
2 Te 0.5000 0.5000 0.5000
3 F 0.0000 0.0000 0.5000
4 F 0.0000 0.5000 0.0000
5 F 0.5000 0.0000 0.0000

Properties
- magnetic moment (μB/atom) = 0.40

ii.
First-principles (PBE-GGA) data for crystalline ScTeF3 at its relaxed geometry, as listed in Alexandria via LeMat-Bulk.

abc: 4.6998 4.6998 4.6998
angles: 90.00 90.00 90.00
Atoms (fractional coordinates):
1 Sc 0.0000 0.0000 0.0000
2 Te 0.5000 0.5000 0.5000
3 F 0.0000 0.5000 0.5000
4 F 0.5000 0.0000 0.5000
5 F 0.5000 0.5000 0.0000

Properties
- magnetic moment (μB/atom) = 0.21

Question: of the structures shown, which is the most stable? Reply: i.